DFT (PBE) results for a relaxed UPd3 crystal.

a b c (Å): 5.7661 5.7661 4.9496
angles (deg): 90.00 90.00 120.00
Space group P6_3/mmc (No. 194)
Inequivalent atoms, fractional coordinates:
U1 0.3333 0.6667 0.2500 x2
Pd1 0.1636 0.3273 0.7500 x6

Output
volume: 71.3 Å³/f.u.
spin magnetization: 0.466 μB per atom
calculated formation energy: -0.511 eV/atom